Record 1
# Ca2MgCoH6 PBE-GGA optimized geometry
data_Ca2MgCoH6
_chemical_formula_sum 'Ca2 Mg1 Co1 H6'
_cell_length_a 5.0667
_cell_length_b 5.0667
_cell_length_c 4.9859
_cell_angle_alpha 90.00
_cell_angle_beta 90.00
_cell_angle_gamma 120.00
_space_group_name_H-M_alt 'P -3 m 1'
_space_group_IT_number 164
_space_group_name_Hall '-P 3 2"'
loop_
_atom_site_label
_atom_site_fract_x
_atom_site_fract_y
_atom_site_fract_z
_atom_site_occupancy
Ca1 0.3333 0.6667 0.1794 1
Mg1 0.0000 0.0000 0.5000 1
Co1 0.0000 0.0000 0.0000 1
H1 0.1544 0.3088 0.8072 1
# size of the total moment	0.00	μB per atom
# calculated total energy	-3.590	eV per atom
# crystal system	trigonal

=====

Record 2
# CaCoH2N PBE-GGA optimized geometry
data_CaCoH2N
_chemical_formula_sum 'Ca1 Co1 H2 N1'
_cell_length_a 3.3032
_cell_length_b 3.3032
_cell_length_c 6.1948
_cell_angle_alpha 90.00
_cell_angle_beta 90.00
_cell_angle_gamma 90.00
_space_group_name_H-M_alt 'P 4/m m m'
_space_group_IT_number 123
_space_group_name_Hall '-P 4 2'
loop_
_atom_site_label
_atom_site_fract_x
_atom_site_fract_y
_atom_site_fract_z
_atom_site_occupancy
Ca1 0.0000 0.0000 0.0000 1
Co1 0.0000 0.0000 0.5000 1
H1 0.0000 0.5000 0.5000 1
N1 0.5000 0.5000 0.0000 1
# size of the total moment	0.53	μB per atom
# crystal system	tetragonal
# energy above the most stable polymorph in this dataset	440.7	kJ/mol of formula units

=====

Record 3
# CaCoH2N PBE-GGA optimized geometry
data_CaCoH2N
_chemical_formula_sum 'Ca1 Co1 H2 N1'
_cell_length_a 3.5224
_cell_length_b 3.5224
_cell_length_c 3.6495
_cell_angle_alpha 90.00
_cell_angle_beta 90.00
_cell_angle_gamma 90.00
_space_group_name_H-M_alt 'P 4/m m m'
_space_group_IT_number 123
_space_group_name_Hall '-P 4 2'
loop_
_atom_site_label
_atom_site_fract_x
_atom_site_fract_y
_atom_site_fract_z
_atom_site_occupancy
Ca1 0.0000 0.0000 0.0000 1
Co1 0.5000 0.5000 0.5000 1
H1 0.0000 0.5000 0.5000 1
N1 0.5000 0.5000 0.0000 1
# size of the total moment	0.12	μB per atom
# crystal system	tetragonal
# energy above the most stable polymorph in this dataset	0.0	kJ/mol of formula units

=====

Record 4
# CaCo2HN PBE-GGA optimized geometry
data_CaCo2HN
_chemical_formula_sum 'Ca1 Co2 H1 N1'
_cell_length_a 3.4240
_cell_length_b 3.4240
_cell_length_c 5.2765
_cell_angle_alpha 90.00
_cell_angle_beta 90.00
_cell_angle_gamma 90.00
_space_group_name_H-M_alt 'P 4/m m m'
_space_group_IT_number 123
_space_group_name_Hall '-P 4 2'
loop_
_atom_site_label
_atom_site_fract_x
_atom_site_fract_y
_atom_site_fract_z
_atom_site_occupancy
Ca1 0.0000 0.0000 0.0000 1
Co1 0.0000 0.5000 0.5000 1
H1 0.5000 0.5000 0.5000 1
N1 0.5000 0.5000 0.0000 1
# size of the total moment	0.87	μB per atom
# calculated total energy	-5.118	eV per atom
# crystal system	tetragonal